! PBE Li2AuSI, optimized geometry; values from VASP
! M_tot (μB/f.u.): 0.0
! Symmetry: P4/mmm (123)
! Energy (eV per atom): -3.29
! Formation energy without anion corrections (eV per formula unit): -3.69
&SYSTEM
  ibrav = 0, nat = 5, ntyp = 4
/
ATOMIC_SPECIES
Li 6.94 Li.upf
Au 196.97 Au.upf
S 32.06 S.upf
I 126.90 I.upf
CELL_PARAMETERS angstrom
4.9447 0.0000 0.0000
0.0000 4.9447 0.0000
0.0000 0.0000 4.7467
ATOMIC_POSITIONS crystal
Li 0.0000 0.5000 0.0000
Li 0.5000 0.0000 0.0000
Au 0.0000 0.0000 0.5000
S 0.0000 0.0000 0.0000
I 0.5000 0.5000 0.5000